Record 1
VASP calculation (PBE-GGA) on a relaxed Pm12Ni6Os crystal.

Results
Volume   531.0 Å³/f.u.
Calculated formation energy   -0.114 eV per atom

```
data_Pm12Ni6Os
_chemical_formula_sum 'Pm12 Ni6 Os1'
_cell_length_a 8.189
_cell_length_b 8.189
_cell_length_c 8.189
_cell_angle_alpha 98.09
_cell_angle_beta 98.09
_cell_angle_gamma 98.09
_symmetry_space_group_name_H-M 'P 1'
_symmetry_Int_Tables_number 1
loop_
_symmetry_equiv_pos_as_xyz
'x,y,z'
loop_
_atom_site_label
_atom_site_fract_x
_atom_site_fract_y
_atom_site_fract_z
Pm1 0.950 0.323 0.094
Pm2 0.590 0.421 0.817
Pm3 0.050 0.677 0.906
Pm4 0.094 0.950 0.323
Pm5 0.579 0.183 0.410
Pm6 0.677 0.906 0.050
Pm7 0.323 0.094 0.950
Pm8 0.421 0.817 0.590
Pm9 0.410 0.579 0.183
Pm10 0.817 0.590 0.421
Pm11 0.183 0.410 0.579
Pm12 0.906 0.050 0.677
Ni1 0.133 0.613 0.320
Ni2 0.867 0.387 0.680
Ni3 0.387 0.680 0.867
Ni4 0.613 0.320 0.133
Ni5 0.320 0.133 0.613
Ni6 0.680 0.867 0.387
Os1 0.000 0.000 0.000
```

---

Record 2
VASP calculation (PBE-GGA) on a relaxed Pm8NiOs2 crystal.

Results
Volume   315.8 Å³/f.u.
Calculated formation energy   -0.044 eV per atom
Energy above the lowest structure with this stoichiometry   0.042 eV per atom

```
data_Pm8NiOs2
_chemical_formula_sum 'Pm8 Ni1 Os2'
_cell_length_a 6.238
_cell_length_b 7.644
_cell_length_c 7.644
_cell_angle_alpha 112.48
_cell_angle_beta 101.13
_cell_angle_gamma 101.13
_symmetry_space_group_name_H-M 'P 1'
_symmetry_Int_Tables_number 1
loop_
_symmetry_equiv_pos_as_xyz
'x,y,z'
loop_
_atom_site_label
_atom_site_fract_x
_atom_site_fract_y
_atom_site_fract_z
Pm1 0.183 0.360 0.360
Pm2 0.593 0.351 0.085
Pm3 0.990 0.204 0.793
Pm4 0.368 0.924 0.660
Pm5 0.990 0.793 0.204
Pm6 0.593 0.085 0.351
Pm7 0.784 0.643 0.643
Pm8 0.368 0.660 0.924
Os1 0.479 0.316 0.694
Os2 0.479 0.694 0.316
Ni1 0.172 0.004 0.004
```

---

Record 3
VASP calculation (PBE-GGA) on a relaxed PmPrNiOs crystal.

Results
Volume   86.9 Å³/f.u.
Calculated formation energy   -0.056 eV per atom

```
data_PmPrNiOs
_chemical_formula_sum 'Pm1 Pr1 Ni1 Os1'
_cell_length_a 4.972
_cell_length_b 4.972
_cell_length_c 4.972
_cell_angle_alpha 60.00
_cell_angle_beta 60.00
_cell_angle_gamma 60.00
_symmetry_space_group_name_H-M 'P 1'
_symmetry_Int_Tables_number 1
loop_
_symmetry_equiv_pos_as_xyz
'x,y,z'
loop_
_atom_site_label
_atom_site_fract_x
_atom_site_fract_y
_atom_site_fract_z
Pr1 0.500 0.500 0.500
Os1 0.250 0.250 0.250
Ni1 0.750 0.750 0.750
Pm1 0.000 0.000 0.000
```

---

Record 4
VASP calculation (PBE-GGA) on a relaxed PmSi4Ni2Os crystal.

Results
Total DFT energy (no corrections)   -52.8 eV/cell
Volume   120.3 Å³/f.u.

```
data_PmSi4Ni2Os
_chemical_formula_sum 'Pm1 Si4 Ni2 Os1'
_cell_length_a 3.982
_cell_length_b 3.982
_cell_length_c 9.055
_cell_angle_alpha 77.30
_cell_angle_beta 77.30
_cell_angle_gamma 60.00
_symmetry_space_group_name_H-M 'P 1'
_symmetry_Int_Tables_number 1
loop_
_symmetry_equiv_pos_as_xyz
'x,y,z'
loop_
_atom_site_label
_atom_site_fract_x
_atom_site_fract_y
_atom_site_fract_z
Si1 0.404 0.404 0.787
Si2 0.125 0.125 0.624
Si3 0.596 0.596 0.213
Si4 0.875 0.875 0.376
Os1 0.500 0.500 0.500
Pm1 0.000 0.000 0.000
Ni1 0.232 0.232 0.305
Ni2 0.768 0.768 0.695
```

---

Record 5
VASP calculation (PBE-GGA) on a relaxed PmSi3NiOs crystal.

Results
Total DFT energy (no corrections)   -80.5 eV/cell
Volume   109.4 Å³/f.u.

```
data_PmSi3NiOs
_chemical_formula_sum 'Pm2 Si6 Ni2 Os2'
_cell_length_a 5.626
_cell_length_b 6.219
_cell_length_c 6.985
_cell_angle_alpha 116.43
_cell_angle_beta 90.00
_cell_angle_gamma 90.00
_symmetry_space_group_name_H-M 'P 1'
_symmetry_Int_Tables_number 1
loop_
_symmetry_equiv_pos_as_xyz
'x,y,z'
loop_
_atom_site_label
_atom_site_fract_x
_atom_site_fract_y
_atom_site_fract_z
Si1 0.250 0.221 0.443
Si2 0.000 0.696 0.000
Si3 0.500 0.696 0.000
Si4 0.500 0.304 0.000
Si5 0.750 0.779 0.557
Si6 0.000 0.304 0.000
Os1 0.750 0.957 0.913
Os2 0.250 0.043 0.087
Pm1 0.750 0.255 0.510
Pm2 0.250 0.745 0.490
Ni1 0.750 0.610 0.220
Ni2 0.250 0.390 0.780
```

---

Record 6
VASP calculation (PBE-GGA) on a relaxed TbPmNiOs crystal.

Results
Volume   82.1 Å³/f.u.
Calculated formation energy   -0.181 eV per atom

```
data_TbPmNiOs
_chemical_formula_sum 'Tb1 Pm1 Ni1 Os1'
_cell_length_a 4.879
_cell_length_b 4.879
_cell_length_c 4.879
_cell_angle_alpha 60.00
_cell_angle_beta 60.00
_cell_angle_gamma 60.00
_symmetry_space_group_name_H-M 'P 1'
_symmetry_Int_Tables_number 1
loop_
_symmetry_equiv_pos_as_xyz
'x,y,z'
loop_
_atom_site_label
_atom_site_fract_x
_atom_site_fract_y
_atom_site_fract_z
Pm1 0.500 0.500 0.500
Ni1 0.250 0.250 0.250
Tb1 0.000 0.000 0.000
Os1 0.750 0.750 0.750
```

---

Record 7
VASP calculation (PBE-GGA) on a relaxed PmTmNiOs crystal.

Results
Volume   79.9 Å³/f.u.
Calculated formation energy   -0.228 eV per atom

```
data_PmTmNiOs
_chemical_formula_sum 'Pm1 Tm1 Ni1 Os1'
_cell_length_a 4.835
_cell_length_b 4.835
_cell_length_c 4.835
_cell_angle_alpha 60.00
_cell_angle_beta 60.00
_cell_angle_gamma 60.00
_symmetry_space_group_name_H-M 'P 1'
_symmetry_Int_Tables_number 1
loop_
_symmetry_equiv_pos_as_xyz
'x,y,z'
loop_
_atom_site_label
_atom_site_fract_x
_atom_site_fract_y
_atom_site_fract_z
Tm1 0.000 0.000 0.000
Pm1 0.500 0.500 0.500
Os1 0.750 0.750 0.750
Ni1 0.250 0.250 0.250
```

---

Record 8
VASP calculation (PBE-GGA) on a relaxed PmUNiOs crystal.

Results
Volume   80.1 Å³/f.u.
Calculated formation energy   0.025 eV per atom

```
data_PmUNiOs
_chemical_formula_sum 'Pm1 U1 Ni1 Os1'
_cell_length_a 4.838
_cell_length_b 4.838
_cell_length_c 4.838
_cell_angle_alpha 60.00
_cell_angle_beta 60.00
_cell_angle_gamma 60.00
_symmetry_space_group_name_H-M 'P 1'
_symmetry_Int_Tables_number 1
loop_
_symmetry_equiv_pos_as_xyz
'x,y,z'
loop_
_atom_site_label
_atom_site_fract_x
_atom_site_fract_y
_atom_site_fract_z
U1 0.500 0.500 0.500
Os1 0.750 0.750 0.750
Pm1 0.000 0.000 0.000
Ni1 0.250 0.250 0.250
```

---

Record 9
VASP calculation (PBE-GGA) on a relaxed PmYNiOs crystal.

Results
Volume   82.0 Å³/f.u.
Calculated formation energy   -0.179 eV per atom

```
data_PmYNiOs
_chemical_formula_sum 'Pm1 Y1 Ni1 Os1'
_cell_length_a 4.877
_cell_length_b 4.877
_cell_length_c 4.877
_cell_angle_alpha 60.00
_cell_angle_beta 60.00
_cell_angle_gamma 60.00
_symmetry_space_group_name_H-M 'P 1'
_symmetry_Int_Tables_number 1
loop_
_symmetry_equiv_pos_as_xyz
'x,y,z'
loop_
_atom_site_label
_atom_site_fract_x
_atom_site_fract_y
_atom_site_fract_z
Os1 0.250 0.250 0.250
Pm1 0.000 0.000 0.000
Y1 0.500 0.500 0.500
Ni1 0.750 0.750 0.750
```

---

Record 10
VASP calculation (PBE-GGA) on a relaxed PmZrNiOs crystal.

Results
Volume   76.7 Å³/f.u.
Calculated formation energy   -0.199 eV per atom

```
data_PmZrNiOs
_chemical_formula_sum 'Pm1 Zr1 Ni1 Os1'
_cell_length_a 4.768
_cell_length_b 4.768
_cell_length_c 4.768
_cell_angle_alpha 60.00
_cell_angle_beta 60.00
_cell_angle_gamma 60.00
_symmetry_space_group_name_H-M 'P 1'
_symmetry_Int_Tables_number 1
loop_
_symmetry_equiv_pos_as_xyz
'x,y,z'
loop_
_atom_site_label
_atom_site_fract_x
_atom_site_fract_y
_atom_site_fract_z
Zr1 0.250 0.250 0.250
Pm1 0.750 0.750 0.750
Os1 0.000 0.000 0.000
Ni1 0.500 0.500 0.500
```

---

Record 11
VASP calculation (PBE-GGA) on a relaxed Pr6Ni2Os crystal.

Results
Volume   241.2 Å³/f.u.
Calculated formation energy   -0.108 eV per atom

```
data_Pr6Ni2Os
_chemical_formula_sum 'Pr12 Ni4 Os2'
_cell_length_a 8.561
_cell_length_b 8.561
_cell_length_c 8.561
_cell_angle_alpha 109.18
_cell_angle_beta 107.62
_cell_angle_gamma 111.64
_symmetry_space_group_name_H-M 'P 1'
_symmetry_Int_Tables_number 1
loop_
_symmetry_equiv_pos_as_xyz
'x,y,z'
loop_
_atom_site_label
_atom_site_fract_x
_atom_site_fract_y
_atom_site_fract_z
Pr1 0.430 0.261 0.169
Pr2 0.685 0.350 0.665
Pr3 0.685 0.020 0.335
Pr4 0.570 0.739 0.831
Pr5 0.091 0.261 0.831
Pr6 0.315 0.650 0.335
Pr7 0.177 0.264 0.441
Pr8 0.315 0.980 0.665
Pr9 0.823 0.736 0.559
Pr10 0.177 0.736 0.914
Pr11 0.909 0.739 0.169
Pr12 0.823 0.264 0.086
Os1 0.000 0.500 0.500
Os2 0.000 0.000 0.000
Ni1 0.687 0.000 0.687
Ni2 0.500 0.617 0.117
Ni3 0.313 0.000 0.313
Ni4 0.500 0.383 0.883
```

---

Record 12
VASP calculation (PBE-GGA) on a relaxed PrSi2NiOs crystal.

Results
Total DFT energy (no corrections)   -36.2 eV/cell
Volume   84.4 Å³/f.u.

```
data_PrSi2NiOs
_chemical_formula_sum 'Pr1 Si2 Ni1 Os1'
_cell_length_a 4.049
_cell_length_b 4.049
_cell_length_c 5.893
_cell_angle_alpha 110.09
_cell_angle_beta 110.09
_cell_angle_gamma 90.00
_symmetry_space_group_name_H-M 'P 1'
_symmetry_Int_Tables_number 1
loop_
_symmetry_equiv_pos_as_xyz
'x,y,z'
loop_
_atom_site_label
_atom_site_fract_x
_atom_site_fract_y
_atom_site_fract_z
Pr1 0.000 0.000 0.000
Os1 0.250 0.750 0.500
Si1 0.372 0.372 0.743
Si2 0.628 0.628 0.257
Ni1 0.750 0.250 0.500
```

---

Copy entry 8 word for word.
VASP calculation (PBE-GGA) on a relaxed PmUNiOs crystal.

Results
Volume   80.1 Å³/f.u.
Calculated formation energy   0.025 eV per atom

```
data_PmUNiOs
_chemical_formula_sum 'Pm1 U1 Ni1 Os1'
_cell_length_a 4.838
_cell_length_b 4.838
_cell_length_c 4.838
_cell_angle_alpha 60.00
_cell_angle_beta 60.00
_cell_angle_gamma 60.00
_symmetry_space_group_name_H-M 'P 1'
_symmetry_Int_Tables_number 1
loop_
_symmetry_equiv_pos_as_xyz
'x,y,z'
loop_
_atom_site_label
_atom_site_fract_x
_atom_site_fract_y
_atom_site_fract_z
U1 0.500 0.500 0.500
Os1 0.750 0.750 0.750
Pm1 0.000 0.000 0.000
Ni1 0.250 0.250 0.250
```